(1)
The following is a DFT calculation (PBE) of an optimized crystal structure of ScRe2.

Computed properties:
Its crystal system is orthorhombic. As for the calculated volume: 197 Å³ per cell. The size of the total moment comes out at 0.00 μB per formula unit. The calculation puts the formation energy at -0.098 eV/atom.

Cell lengths 3.1520, 13.8441, 4.5096 Å; angles 90.00, 90.00, 90.00 degrees
Space group Cmcm (No. 63)
Unique sites:
Sc (0.0000, 0.0810, 0.2500) (multiplicity 4)
Re (0.0000, 0.2435, 0.7500) (multiplicity 4)
Re (0.0000, 0.4056, 0.2500) (multiplicity 4)

(2)
The following is a DFT calculation (PBE) of an optimized crystal structure of ZnBiPd6.

Computed properties:
Its crystal system is tetragonal. As for the calculated volume: 130 Å³ per cell. The size of the total moment comes out at 0.00 μB per formula unit. The calculation puts the formation energy at -0.299 eV/atom. For the energy above the most stable polymorph in this dataset, the calculation gives 0.0 meV per atom.

Cell lengths 4.0338, 4.0338, 8.0190 Å; angles 90.00, 90.00, 90.00 degrees
Space group P4/mmm (No. 123)
Unique sites:
Zn (0.0000, 0.0000, 0.0000) (multiplicity 1)
Bi (0.0000, 0.0000, 0.5000) (multiplicity 1)
Pd (0.0000, 0.5000, 0.2358) (multiplicity 4)
Pd (0.5000, 0.5000, 0.0000) (multiplicity 1)
Pd (0.5000, 0.5000, 0.5000) (multiplicity 1)

(3)
The following is a DFT calculation (PBE) of an optimized crystal structure of PmNdSnHg.

Computed properties:
Its crystal system is tetragonal. As for the calculated volume: 114 Å³ per cell. The size of the total moment comes out at 0.00 μB per formula unit. The calculation puts the formation energy at -0.579 eV/atom. For the energy above the most stable polymorph in this dataset, the calculation gives 23.6 meV per atom.

Cell lengths 3.8660, 3.8660, 7.6052 Å; angles 90.00, 90.00, 90.00 degrees
Space group P4mm (No. 99)
Unique sites:
Pm (0.0000, 0.0000, 0.0000) (multiplicity 1)
Nd (0.0000, 0.0000, 0.5079) (multiplicity 1)
Sn (0.5000, 0.5000, 0.2516) (multiplicity 1)
Hg (0.5000, 0.5000, 0.7575) (multiplicity 1)

(4)
The following is a DFT calculation (PBE) of an optimized crystal structure of LaAlTc.

Computed properties:
Its crystal system is tetragonal. As for the calculated volume: 129 Å³ per cell. The size of the total moment comes out at 0.00 μB per formula unit. The calculation puts the formation energy at -0.108 eV/atom. For the energy above the most stable polymorph in this dataset, the calculation gives 29.8 meV per atom.

Cell lengths 3.5254, 3.5254, 10.3477 Å; angles 90.00, 90.00, 90.00 degrees
Space group I4mm (No. 107)
Unique sites:
La (0.0000, 0.0000, 0.0000) (multiplicity 2)
Al (0.0000, 0.0000, 0.2915) (multiplicity 2)
Tc (0.0000, 0.0000, 0.7267) (multiplicity 2)

(5)
The following is a DFT calculation (PBE) of an optimized crystal structure of SbP2PbO.

Computed properties:
Its crystal system is tetragonal. As for the calculated volume: 118 Å³ per cell. The size of the total moment comes out at 0.67 μB per formula unit. For the energy above the most stable polymorph in this dataset, the calculation gives 498.0 meV per atom. The value obtained for the formation energy from raw total energies is 325 kJ/mol of formula units.

Cell lengths 5.3262, 5.3262, 4.1724 Å; angles 90.00, 90.00, 90.00 degrees
Space group P4/mmm (No. 123)
Unique sites:
Sb (0.0000, 0.0000, 0.0000) (multiplicity 1)
P (0.0000, 0.5000, 0.5000) (multiplicity 2)
Pb (0.5000, 0.5000, 0.5000) (multiplicity 1)
O (0.5000, 0.5000, 0.0000) (multiplicity 1)

(6)
The following is a DFT calculation (PBE) of an optimized crystal structure of Ba2P2Pd.

Computed properties:
Its crystal system is monoclinic. As for the calculated volume: 547 Å³ per cell. The size of the total moment comes out at 0.00 μB per formula unit. The calculation puts the formation energy at -0.917 eV/atom. For the energy above the most stable polymorph in this dataset, the calculation gives 0.0 meV per atom.

Cell lengths 11.9801, 4.2316, 11.3578 Å; angles 90.00, 108.25, 90.00 degrees
Space group C2/m (No. 12)
Unique sites:
Ba (0.0877, 0.0000, 0.4036) (multiplicity 4)
Ba (0.2046, 0.5000, 0.1429) (multiplicity 4)
P (0.0316, 0.0000, 0.9163) (multiplicity 4)
P (0.1470, 0.5000, 0.6509) (multiplicity 4)
Pd (0.0673, 0.5000, 0.8265) (multiplicity 4)

(7)
The following is a DFT calculation (PBE) of an optimized crystal structure of Hf2MgBeTc.

Computed properties:
Its crystal system is tetragonal. As for the calculated volume: 120 Å³ per cell. The size of the total moment comes out at 0.00 μB per formula unit. The calculation puts the formation energy at 0.886 eV/atom.

Cell lengths 4.8893, 4.8893, 5.0207 Å; angles 90.00, 90.00, 90.00 degrees
Space group P4/mmm (No. 123)
Unique sites:
Hf (0.0000, 0.5000, 0.0000) (multiplicity 2)
Mg (0.0000, 0.0000, 0.5000) (multiplicity 1)
Be (0.5000, 0.5000, 0.5000) (multiplicity 1)
Tc (0.0000, 0.0000, 0.0000) (multiplicity 1)

(8)
The following is a DFT calculation (PBE) of an optimized crystal structure of AlSb2Mo.

Computed properties:
Its crystal system is triclinic. As for the calculated volume: 80 Å³ per cell. The size of the total moment comes out at 0.00 μB per formula unit. The value obtained for the formation energy from raw total energies is 151 kJ/mol of formula units.

Cell lengths 3.4941, 4.8231, 4.8762 Å; angles 103.48, 90.30, 90.16 degrees
Space group P-1 (No. 2)
Unique sites:
Al (0.0000, 0.0000, 0.0000) (multiplicity 1)
Sb (0.5000, 0.0000, 0.5000) (multiplicity 1)
Sb (0.5000, 0.5000, 0.0000) (multiplicity 1)
Mo (0.0000, 0.5000, 0.5000) (multiplicity 1)

(9)
The following is a DFT calculation (PBE) of an optimized crystal structure of YGa2Si.

Computed properties:
Its crystal system is tetragonal. As for the calculated volume: 332 Å³ per cell. The size of the total moment comes out at 0.00 μB per formula unit. The value obtained for the formation energy from raw total energies is -119 kJ/mol of formula units.

Cell lengths 7.6197, 7.6197, 5.7181 Å; angles 90.00, 90.00, 90.00 degrees
Space group I-42d (No. 122)
Unique sites:
Y (0.0000, 0.0000, 0.0000) (multiplicity 4)
Ga (0.1982, 0.2500, 0.6250) (multiplicity 8)
Si (0.0000, 0.0000, 0.5000) (multiplicity 4)

(10)
The following is a DFT calculation (PBE) of an optimized crystal structure of Pr2HoTl3.

Computed properties:
Its crystal system is orthorhombic. As for the calculated volume: 754 Å³ per cell. The size of the total moment comes out at 0.00 μB per formula unit. The calculation puts the formation energy at -0.235 eV/atom. For the energy above the most stable polymorph in this dataset, the calculation gives 144.0 meV per atom.

Cell lengths 3.7942, 29.2856, 6.7869 Å; angles 90.00, 90.00, 90.00 degrees
Space group Cmcm (No. 63)
Unique sites:
Pr (0.0000, 0.0057, 0.2500) (multiplicity 4)
Pr (0.0000, 0.1551, 0.7500) (multiplicity 4)
Ho (0.0000, 0.3326, 0.7500) (multiplicity 4)
Tl (0.0000, 0.2526, 0.2500) (multiplicity 4)
Tl (0.0000, 0.4217, 0.0102) (multiplicity 8)

(11)
The following is a DFT calculation (PBE) of an optimized crystal structure of Ca5Cd2.

Computed properties:
Its crystal system is orthorhombic. As for the calculated volume: 946 Å³ per cell. The size of the total moment comes out at 0.00 μB per formula unit. The calculation puts the formation energy at -0.192 eV/atom.

Cell lengths 8.1572, 16.3339, 7.1005 Å; angles 90.00, 90.00, 90.00 degrees
Space group Ibam (No. 72)
Unique sites:
Ca (0.0000, 0.0000, 0.2500) (multiplicity 4)
Ca (0.0000, 0.2290, 0.2500) (multiplicity 8)
Ca (0.1496, 0.4159, 0.0000) (multiplicity 8)
Cd (0.2381, 0.3777, 0.5000) (multiplicity 8)

(12)
The following is a DFT calculation (PBE) of an optimized crystal structure of ZnS.

Computed properties:
Its crystal system is trigonal. As for the calculated volume: 969 Å³ per cell. The size of the total moment comes out at 0.00 μB per formula unit. The value obtained for the formation energy from raw total energies is -156 kJ/mol of formula units.

Cell lengths 3.8495, 3.8495, 75.4731 Å; angles 90.00, 90.00, 120.00 degrees
Space group P3m1 (No. 156)
Unique sites:
Zn (0.0000, 0.0000, 0.0000) (multiplicity 1)
Zn (0.0000, 0.0000, 0.0834) (multiplicity 1)
Zn (0.0000, 0.0000, 0.2500) (multiplicity 1)
Zn (0.0000, 0.0000, 0.3750) (multiplicity 1)
Zn (0.0000, 0.0000, 0.5000) (multiplicity 1)
Zn (0.0000, 0.0000, 0.6250) (multiplicity 1)
Zn (0.0000, 0.0000, 0.7500) (multiplicity 1)
Zn (0.0000, 0.0000, 0.8750) (multiplicity 1)
Zn (0.3333, 0.6667, 0.0417) (multiplicity 1)
Zn (0.3333, 0.6667, 0.1667) (multiplicity 1)
Zn (0.3333, 0.6667, 0.2917) (multiplicity 1)
Zn (0.3333, 0.6667, 0.4167) (multiplicity 1)
Zn (0.3333, 0.6667, 0.5417) (multiplicity 1)
Zn (0.3333, 0.6667, 0.6667) (multiplicity 1)
Zn (0.3333, 0.6667, 0.7917) (multiplicity 1)
Zn (0.3333, 0.6667, 0.9167) (multiplicity 1)
Zn (0.6667, 0.3333, 0.1250) (multiplicity 1)
Zn (0.6667, 0.3333, 0.2084) (multiplicity 1)
Zn (0.6667, 0.3333, 0.3333) (multiplicity 1)
Zn (0.6667, 0.3333, 0.4583) (multiplicity 1)
Zn (0.6667, 0.3333, 0.5833) (multiplicity 1)
Zn (0.6667, 0.3333, 0.7083) (multiplicity 1)
Zn (0.6667, 0.3333, 0.8333) (multiplicity 1)
Zn (0.6667, 0.3333, 0.9583) (multiplicity 1)
S (0.0000, 0.0000, 0.0521) (multiplicity 1)
S (0.0000, 0.0000, 0.2188) (multiplicity 1)
S (0.0000, 0.0000, 0.3438) (multiplicity 1)
S (0.0000, 0.0000, 0.4688) (multiplicity 1)
S (0.0000, 0.0000, 0.5938) (multiplicity 1)
S (0.0000, 0.0000, 0.7188) (multiplicity 1)
S (0.0000, 0.0000, 0.8438) (multiplicity 1)
S (0.0000, 0.0000, 0.9688) (multiplicity 1)
S (0.3333, 0.6667, 0.0104) (multiplicity 1)
S (0.3333, 0.6667, 0.1354) (multiplicity 1)
S (0.3333, 0.6667, 0.2604) (multiplicity 1)
S (0.3333, 0.6667, 0.3854) (multiplicity 1)
S (0.3333, 0.6667, 0.5104) (multiplicity 1)
S (0.3333, 0.6667, 0.6354) (multiplicity 1)
S (0.3333, 0.6667, 0.7604) (multiplicity 1)
S (0.3333, 0.6667, 0.8854) (multiplicity 1)
S (0.6667, 0.3333, 0.0938) (multiplicity 1)
S (0.6667, 0.3333, 0.1771) (multiplicity 1)
S (0.6667, 0.3333, 0.3021) (multiplicity 1)
S (0.6667, 0.3333, 0.4271) (multiplicity 1)
S (0.6667, 0.3333, 0.5521) (multiplicity 1)
S (0.6667, 0.3333, 0.6771) (multiplicity 1)
S (0.6667, 0.3333, 0.8021) (multiplicity 1)
S (0.6667, 0.3333, 0.9271) (multiplicity 1)

(13)
The following is a DFT calculation (PBE) of an optimized crystal structure of ZnTe2Os.

Computed properties:
Its crystal system is orthorhombic. As for the calculated volume: 180 Å³ per cell. The size of the total moment comes out at 0.00 μB per formula unit. The value obtained for the formation energy from raw total energies is 176 kJ/mol of formula units.

Cell lengths 3.1336, 4.5893, 12.5182 Å; angles 90.00, 90.00, 90.00 degrees
Space group Imm2 (No. 44)
Unique sites:
Zn (0.0000, 0.0000, 0.0000) (multiplicity 2)
Te (0.0000, 0.0000, 0.3652) (multiplicity 2)
Te (0.0000, 0.5000, 0.1417) (multiplicity 2)
Os (0.0000, 0.5000, 0.6919) (multiplicity 2)